1.
{
  "formula": "Tb2Pr6Y3",
  "functional": "PBE-GGA",
  "state": "relaxed",
  "final_energy_ev_per_atom": -4.920,
  "delta_e_f_ev_per_atom": 0.2915,
  "polymorph_energy_mev_per_atom": 277.3,
  "volume_a3_per_atom": 36.22,
  "magnetic_moment_mub_per_atom": 0.0000,
  "lattice_angstrom": [[-2.4237, 2.4237, 16.9566], [2.4237, -2.4237, 16.9566], [2.4237, 2.4237, -16.9566]],
  "species": ["Tb", "Tb", "Pr", "Pr", "Pr", "Pr", "Pr", "Pr", "Y", "Y", "Y"],
  "frac_coords": [[0.0448, 0.0448, 0.0000], [0.9552, 0.9552, 0.0000], [0.1191, 0.6191, 0.5000], [0.1961, 0.1961, 0.0000], [0.3809, 0.8809, 0.5000], [0.6191, 0.1191, 0.5000], [0.8039, 0.8039, 0.0000], [0.8809, 0.3809, 0.5000], [0.2989, 0.2989, 0.0000], [0.5000, 0.5000, 0.0000], [0.7011, 0.7011, 0.0000]]
}

=====

2.
{
  "formula": "TaFeIrRh",
  "functional": "PBE-GGA",
  "state": "relaxed",
  "final_energy_ev_per_atom": -9.550,
  "delta_e_f_ev_per_atom": -0.4176,
  "polymorph_energy_mev_per_atom": 0.0,
  "volume_a3_per_atom": 14.68,
  "magnetic_moment_mub_per_atom": 0.6982,
  "lattice_angstrom": [[-1.9877, 1.9877, 3.7162], [1.9877, -1.9877, 3.7162], [1.9877, 1.9877, -3.7162]],
  "species": ["Ta", "Fe", "Ir", "Rh"],
  "frac_coords": [[0.0000, 0.0000, 0.0000], [0.5000, 0.5000, 0.0000], [0.7500, 0.2500, 0.5000], [0.2500, 0.7500, 0.5000]]
}